! Co6W20C7 (meta-GGA SCAN, PBEsol geometry); values from VASP
! Energy relative to the elements ... 52 meV per atom
! Size of the total moment ... 0.00 μB per atom
! Space group ... P-6m2, No. 187
! V ... 411.3 Å³ per cell
! ρ ... 16.61 g/cm3
&SYSTEM
  ibrav = 0, nat = 33, ntyp = 3
/
ATOMIC_SPECIES
Co 58.93 Co.upf
W 183.84 W.upf
C 12.01 C.upf
CELL_PARAMETERS angstrom
7.7998 0.0000 0.0000
-3.8999 6.7548 0.0000
0.0000 0.0000 7.8063
ATOMIC_POSITIONS angstrom
Co 0.0000 1.5039 0.0000
Co -2.5975 6.0029 0.0000
Co 1.3043 0.7530 3.9031
Co 2.5975 6.0029 0.0000
Co 6.4954 0.7530 3.9031
Co 3.8999 5.2487 3.9031
W 0.0000 0.0000 1.9475
W 0.0000 0.0000 5.8588
W -1.3734 3.7102 0.0000
W 0.0000 2.7581 2.5077
W 0.0000 2.7581 5.2986
W -1.5113 5.3757 2.5077
W -1.5113 5.3757 5.2986
W 2.3406 1.3513 1.3949
W 2.3406 1.3513 6.4114
W 1.3734 3.7102 0.0000
W 0.0000 6.0891 0.0000
W 3.8999 0.7168 3.9031
W 2.5707 3.0190 3.9031
W 1.5113 5.3757 2.5077
W 1.5113 5.3757 5.2986
W 5.4592 1.3513 1.3949
W 5.4592 1.3513 6.4114
W 3.8999 4.0521 1.3949
W 3.8999 4.0521 6.4114
W 5.2290 3.0190 3.9031
C 0.0000 4.5032 3.9031
C 3.8999 0.0317 1.9510
C 3.8999 0.0317 5.8553
C 1.9774 3.3616 1.9510
C 1.9774 3.3616 5.8553
C 5.8224 3.3616 1.9510
C 5.8224 3.3616 5.8553

! Co2W4C (meta-GGA SCAN, PBEsol geometry); values from VASP
! Energy relative to the elements ... 55 meV per atom
! Size of the total moment ... 0.00 μB per atom
! Space group ... Fd-3m, No. 227
! V ... 351.1 Å³ per cell
! ρ ... 16.37 g/cm3
&SYSTEM
  ibrav = 0, nat = 28, ntyp = 3
/
ATOMIC_SPECIES
Co 58.93 Co.upf
W 183.84 W.upf
C 12.01 C.upf
CELL_PARAMETERS angstrom
0.0000 5.5994 5.5994
5.5994 0.0000 5.5994
5.5994 5.5994 0.0000
ATOMIC_POSITIONS angstrom
Co 8.8859 5.1125 5.1125
Co 2.3128 2.3128 2.3128
Co 6.0862 6.0862 2.3128
Co 6.0862 2.3128 6.0862
Co 5.1125 8.8859 5.1125
Co 5.1125 5.1125 8.8859
Co 8.8859 8.8859 8.8859
Co 2.3128 6.0862 6.0862
W 0.0000 0.0000 0.0000
W 2.7997 2.7997 0.0000
W 2.7997 0.0000 2.7997
W 4.1995 4.1995 2.0891
W 4.1995 2.0891 4.1995
W 6.3099 4.1995 4.1995
W 6.9992 6.9992 4.8888
W 6.9992 4.8888 6.9992
W 9.1096 6.9992 6.9992
W 0.0000 2.7997 2.7997
W 2.0891 4.1995 4.1995
W 4.1995 6.3099 4.1995
W 4.1995 4.1995 6.3099
W 4.8888 6.9992 6.9992
W 6.9992 9.1096 6.9992
W 6.9992 6.9992 9.1096
C 5.5994 2.7997 2.7997
C 2.7997 5.5994 2.7997
C 2.7997 2.7997 5.5994
C 5.5994 5.5994 5.5994